Material: Rb3Ge4
Method: DFT, PBE
State: relaxed

Output
Formation enthalpy at 0 K, meV/atom: -123
Total magnetization, μB per formula unit: 0.00
Symmetry: Immm
Volume, Å³/f.u.: 241.0

Cell lengths 4.134, 5.748, 10.743 Å; angles 105.52, 101.09, 90.00 degrees
Atoms (fractional coordinates):
1 Rb 0.500 0.000 0.000
2 Rb 0.184 0.184 0.369
3 Rb 0.816 0.816 0.631
4 Ge 0.370 0.370 0.741
5 Ge 0.630 0.630 0.259
6 Ge 0.061 0.561 0.122
7 Ge 0.939 0.439 0.878